Below is LiYAg2S after structural relaxation, with properties calculated at the PBE-GGA level.

Values from the calculation:
energy relative to the elements, uncorrected	1	kJ/mol of atoms
space group	No. 123
total energy	-0.1333	Ha/atom
DOS(E_F)	0.044	states/eV/atom

a b c (Å): 5.710 5.710 5.105
angles (deg): 90.00 90.00 90.00
Element x y z (fractional)
Li1 0.000 0.000 0.000
Y1 0.500 0.500 0.500
Ag1 0.000 0.500 0.500
Ag2 0.500 0.000 0.500
S1 0.500 0.500 0.000